Computed, not measured: a relaxed La5Tb6Nd crystal at the GGA-PBE level of DFT.

Total magnetic moment, μB per cell: 0.00
Energy, eV per atom: -4.756
Energy above the most stable polymorph in this dataset, eV/atom: 0.000
Formation enthalpy at 0 K, kJ per mole of atoms: 1

abc: 6.3474 6.3474 11.9326
angles: 95.08 95.08 120.02
Positions (direct):
La: 0.0000 0.0000 0.0000
La: 0.1667 0.8333 0.5000
La: 0.3338 0.6662 0.0000
La: 0.6662 0.3338 0.0000
La: 0.8333 0.1667 0.5000
Tb: 0.0845 0.4171 0.2505
Tb: 0.2503 0.2503 0.7494
Tb: 0.4171 0.0845 0.2505
Tb: 0.5829 0.9155 0.7495
Tb: 0.7497 0.7497 0.2506
Tb: 0.9155 0.5829 0.7495
Nd: 0.5000 0.5000 0.5000

=====

Computed, not measured: a relaxed La2Tb8Nd crystal at the GGA-PBE level of DFT.

Total magnetic moment, μB per cell: 0.00
Energy, eV per atom: -4.672
Energy above the most stable polymorph in this dataset, eV/atom: 0.000
Formation enthalpy at 0 K, kJ per mole of atoms: 2

abc: 9.5349 9.5349 8.0716
angles: 104.76 104.76 31.09
Positions (direct):
La: 0.2274 0.2274 0.1370
La: 0.7726 0.7726 0.8630
Tb: 0.0438 0.0438 0.2265
Tb: 0.1353 0.1353 0.6770
Tb: 0.3189 0.3189 0.5934
Tb: 0.4106 0.4106 0.0452
Tb: 0.5894 0.5894 0.9548
Tb: 0.6811 0.6811 0.4066
Tb: 0.8647 0.8647 0.3230
Tb: 0.9562 0.9562 0.7735
Nd: 0.5000 0.5000 0.5000

=====

Computed, not measured: a relaxed La2TbNd5 crystal at the GGA-PBE level of DFT.

Total magnetic moment, μB per cell: 0.00
Energy, eV per atom: -4.776
Formation enthalpy at 0 K, kJ per mole of atoms: 1

abc: 7.3580 14.7393 5.2093
angles: 90.00 90.00 90.00
Positions (direct):
La: 0.2485 0.1243 0.0000
La: 0.2515 0.6243 0.0000
La: 0.7485 0.3757 0.0000
La: 0.7515 0.8757 0.0000
Tb: 0.0000 0.0000 0.5000
Tb: 0.5000 0.5000 0.5000
Nd: 0.0000 0.5000 0.5000
Nd: 0.0016 0.7511 0.5000
Nd: 0.2493 0.3758 0.0000
Nd: 0.2507 0.8758 0.0000
Nd: 0.4984 0.2511 0.5000
Nd: 0.5000 0.0000 0.5000
Nd: 0.5016 0.7489 0.5000
Nd: 0.7493 0.1242 0.0000
Nd: 0.7507 0.6242 0.0000
Nd: 0.9984 0.2489 0.5000

=====

Computed, not measured: a relaxed La3Tb4Nd4 crystal at the GGA-PBE level of DFT.

Total magnetic moment, μB per cell: 0.00
Energy, eV per atom: -4.630
Energy above the most stable polymorph in this dataset, eV/atom: 0.000
Formation enthalpy at 0 K, kJ per mole of atoms: 13

abc: 12.3307 12.3307 12.3307
angles: 163.02 134.32 49.08
Positions (direct):
La: 0.0000 0.0000 0.0000
La: 0.3909 0.8909 0.5000
La: 0.6091 0.1091 0.5000
Tb: 0.2584 0.2584 0.0000
Tb: 0.3175 0.5000 0.8175
Tb: 0.6825 0.5000 0.1825
Tb: 0.7416 0.7416 0.0000
Nd: 0.0316 0.3530 0.6786
Nd: 0.3255 0.6470 0.6786
Nd: 0.6745 0.3530 0.3214
Nd: 0.9684 0.6470 0.3214

=====

Computed, not measured: a relaxed LaTb4Nd6 crystal at the GGA-PBE level of DFT.

Total magnetic moment, μB per cell: 0.00
Energy, eV per atom: -4.580
Energy above the most stable polymorph in this dataset, eV/atom: 0.000
Formation enthalpy at 0 K, kJ per mole of atoms: 15

abc: 11.1890 11.1890 3.6144
angles: 90.00 90.00 120.00
Positions (direct):
La: 0.0000 0.0000 0.0000
Tb: 0.3264 0.1632 0.5000
Tb: 0.3333 0.6667 0.0000
Tb: 0.8368 0.1632 0.5000
Tb: 0.8368 0.6736 0.5000
Nd: 0.1829 0.3657 0.5000
Nd: 0.1829 0.8171 0.5000
Nd: 0.5224 0.0448 0.0000
Nd: 0.5224 0.4776 0.0000
Nd: 0.6343 0.8171 0.5000
Nd: 0.9552 0.4776 0.0000

=====

Computed, not measured: a relaxed La3Tb3Nd crystal at the GGA-PBE level of DFT.

Total magnetic moment, μB per cell: 0.00
Energy, eV per atom: -4.741
Energy above the most stable polymorph in this dataset, eV/atom: 0.000
Formation enthalpy at 0 K, kJ per mole of atoms: 4

abc: 9.8256 9.8256 5.8780
angles: 90.00 90.00 120.00
Positions (direct):
La: 0.0965 0.4726 0.2500
La: 0.3761 0.9035 0.2500
La: 0.4726 0.3761 0.7500
La: 0.5274 0.6239 0.2500
La: 0.6239 0.0965 0.7500
La: 0.9035 0.5274 0.7500
Tb: 0.0463 0.2315 0.7500
Tb: 0.1852 0.9537 0.7500
Tb: 0.2315 0.1852 0.2500
Tb: 0.7685 0.8148 0.7500
Tb: 0.8148 0.0463 0.2500
Tb: 0.9537 0.7685 0.2500
Nd: 0.3333 0.6667 0.7500
Nd: 0.6667 0.3333 0.2500

=====

Please write out number 1 again, unchanged.
Computed, not measured: a relaxed La5Tb6Nd crystal at the GGA-PBE level of DFT.

Total magnetic moment, μB per cell: 0.00
Energy, eV per atom: -4.756
Energy above the most stable polymorph in this dataset, eV/atom: 0.000
Formation enthalpy at 0 K, kJ per mole of atoms: 1

abc: 6.3474 6.3474 11.9326
angles: 95.08 95.08 120.02
Positions (direct):
La: 0.0000 0.0000 0.0000
La: 0.1667 0.8333 0.5000
La: 0.3338 0.6662 0.0000
La: 0.6662 0.3338 0.0000
La: 0.8333 0.1667 0.5000
Tb: 0.0845 0.4171 0.2505
Tb: 0.2503 0.2503 0.7494
Tb: 0.4171 0.0845 0.2505
Tb: 0.5829 0.9155 0.7495
Tb: 0.7497 0.7497 0.2506
Tb: 0.9155 0.5829 0.7495
Nd: 0.5000 0.5000 0.5000